No. 1
Here is Dy12Ni6Ir after structural relaxation from the Alexandria database. Energies are from PBE.

abc: 7.9973 7.9973 7.9973
angles: 98.68 98.68 98.68
With the nearest neighbours (Å) after each atom.
Sites, in units of the cell vectors:
Dy 0.0512 0.6752 0.9056  1 Ir 2.70, 2 Ni 2.73-2.77
Dy 0.0944 0.9488 0.3248  1 Ir 2.70, 2 Ni 2.73-2.77
Dy 0.1822 0.4094 0.5748  3 Ni 2.66-2.82
Dy 0.3248 0.0944 0.9488  1 Ir 2.70, 2 Ni 2.73-2.77
Dy 0.4094 0.5748 0.1822  3 Ni 2.66-2.82
Dy 0.4252 0.8178 0.5906  3 Ni 2.66-2.82
Dy 0.5748 0.1822 0.4094  3 Ni 2.66-2.82
Dy 0.5906 0.4252 0.8178  3 Ni 2.66-2.82
Dy 0.6752 0.9056 0.0512  1 Ir 2.70, 2 Ni 2.73-2.77
Dy 0.8178 0.5906 0.4252  3 Ni 2.66-2.82
Dy 0.9056 0.0512 0.6752  1 Ir 2.70, 2 Ni 2.73-2.77
Dy 0.9488 0.3248 0.0944  1 Ir 2.70, 2 Ni 2.73-2.77
Ni 0.1319 0.6142 0.3194  5 Dy 2.66-2.82
Ni 0.3194 0.1319 0.6142  5 Dy 2.66-2.82
Ni 0.3858 0.6806 0.8681  5 Dy 2.66-2.82
Ni 0.6142 0.3194 0.1319  5 Dy 2.66-2.82
Ni 0.6806 0.8681 0.3858  5 Dy 2.66-2.82
Ni 0.8681 0.3858 0.6806  5 Dy 2.66-2.82
Ir 0.0000 0.0000 0.0000  6 Dy 2.70

Values from the calculation:
Crystal system = trigonal
Formation energy = -0.26 eV per atom

=====

No. 2
Here is Dy3Ni2Ir after structural relaxation from the Alexandria database. Energies are from PBE.

abc: 11.1389 4.1022 11.1869
angles: 90.00 90.00 90.00
With the nearest neighbours (Å) after each atom.
Sites, in units of the cell vectors:
Dy 0.0536 0.2500 0.1230  5 Ni 2.86-3.01, 1 Ir 2.92
Dy 0.1185 0.7500 0.5582  3 Ir 2.89-2.92, 5 Ni 2.98-3.06
Dy 0.2103 0.2500 0.8003  4 Ni 2.80-3.06, 2 Ir 2.82
Dy 0.2897 0.7500 0.3003  4 Ni 2.80-3.06, 2 Ir 2.82
Dy 0.3815 0.2500 0.0582  3 Ir 2.89-2.92, 5 Ni 2.98-3.06
Dy 0.4464 0.7500 0.6230  5 Ni 2.86-3.01, 1 Ir 2.92
Dy 0.5536 0.2500 0.3770  5 Ni 2.86-3.01, 1 Ir 2.92
Dy 0.6185 0.7500 0.9418  3 Ir 2.89-2.92, 5 Ni 2.98-3.06
Dy 0.7103 0.2500 0.6997  4 Ni 2.80-3.06, 2 Ir 2.82
Dy 0.7897 0.7500 0.1997  4 Ni 2.80-3.06, 2 Ir 2.82
Dy 0.8815 0.2500 0.4418  3 Ir 2.89-2.92, 5 Ni 2.98-3.06
Dy 0.9464 0.7500 0.8770  5 Ni 2.86-3.01, 1 Ir 2.92
Ni 0.0180 0.7500 0.3041  2 Ir 2.53, 1 Dy 2.80
Ni 0.1858 0.7500 0.0023  1 Ir 2.50
Ni 0.3142 0.2500 0.5023  1 Ir 2.50
Ni 0.4820 0.2500 0.8041  2 Ir 2.53, 1 Dy 2.80
Ni 0.5180 0.7500 0.1959  2 Ir 2.53, 1 Dy 2.80
Ni 0.6858 0.7500 0.4977  1 Ir 2.50
Ni 0.8142 0.2500 0.9977  1 Ir 2.50
Ni 0.9820 0.2500 0.6959  2 Ir 2.53, 1 Dy 2.80
Ir 0.1314 0.2500 0.3723  3 Ni 2.50-2.53
Ir 0.3686 0.7500 0.8723  3 Ni 2.50-2.53
Ir 0.6314 0.2500 0.1277  3 Ni 2.50-2.53
Ir 0.8686 0.7500 0.6277  3 Ni 2.50-2.53

Values from the calculation:
Crystal system = orthorhombic
Formation energy = -0.51 eV per atom

=====

No. 3
Here is Dy2NiIr2 after structural relaxation from the Alexandria database. Energies are from PBE.

abc: 5.4678 5.4678 7.8513
angles: 103.07 103.07 58.81
With the nearest neighbours (Å) after each atom.
Sites, in units of the cell vectors:
Dy 0.0093 0.2874 0.1515  6 Ir 2.88-3.07, 1 Ni 3.16
Dy 0.2874 0.0093 0.6515  6 Ir 2.88-3.07, 1 Ni 3.16
Dy 0.7126 0.9907 0.3485  6 Ir 2.88-3.07, 1 Ni 3.16
Dy 0.9907 0.7126 0.8485  6 Ir 2.88-3.07, 1 Ni 3.16
Ni 0.3480 0.6520 0.2500  4 Ir 2.56
Ni 0.6520 0.3480 0.7500  4 Ir 2.56
Ir 0.2370 0.5010 0.4956  2 Ni 2.56, 2 Ir 2.61-2.86
Ir 0.4990 0.7630 0.0044  2 Ni 2.56, 2 Ir 2.61-2.86
Ir 0.5010 0.2370 0.9956  2 Ni 2.56, 2 Ir 2.61-2.86
Ir 0.7630 0.4990 0.5044  2 Ni 2.56, 2 Ir 2.61-2.86

Values from the calculation:
Crystal system = monoclinic
Formation energy = -0.65 eV per atom

=====

No. 4
Here is Dy2NiIr3 after structural relaxation from the Alexandria database. Energies are from PBE.

abc: 5.3764 5.3764 8.3867
angles: 90.00 90.00 120.00
With the nearest neighbours (Å) after each atom.
Sites, in units of the cell vectors:
Dy 0.3333 0.6667 0.0654  9 Ir 3.06-3.10, 4 Dy 3.10-3.29, 3 Ni 3.15
Dy 0.3333 0.6667 0.4346  9 Ir 3.06-3.10, 4 Dy 3.10-3.29, 3 Ni 3.15
Dy 0.6667 0.3333 0.5654  9 Ir 3.06-3.10, 4 Dy 3.10-3.29, 3 Ni 3.15
Dy 0.6667 0.3333 0.9346  9 Ir 3.06-3.10, 4 Dy 3.10-3.29, 3 Ni 3.15
Ni 0.0000 0.0000 0.0000  6 Ir 2.61
Ni 0.0000 0.0000 0.5000  6 Ir 2.61
Ir 0.1677 0.3354 0.7500  2 Ni 2.61, 4 Ir 2.67-2.71
Ir 0.1677 0.8323 0.7500  2 Ni 2.61, 4 Ir 2.67-2.71
Ir 0.3354 0.1677 0.2500  2 Ni 2.61, 4 Ir 2.67-2.71
Ir 0.6646 0.8323 0.7500  2 Ni 2.61, 4 Ir 2.67-2.71
Ir 0.8323 0.1677 0.2500  2 Ni 2.61, 4 Ir 2.67-2.71
Ir 0.8323 0.6646 0.2500  2 Ni 2.61, 4 Ir 2.67-2.71

Values from the calculation:
Crystal system = hexagonal
Formation energy = -0.70 eV per atom

=====

No. 5
Here is Dy3NiIr2 after structural relaxation from the Alexandria database. Energies are from PBE.

abc: 11.1584 4.1543 10.9941
angles: 90.00 90.00 90.00
With the nearest neighbours (Å) after each atom.
Sites, in units of the cell vectors:
Dy 0.0472 0.2500 0.1216  1 Ni 2.89, 5 Ir 2.92-3.00
Dy 0.1183 0.7500 0.5614  3 Ni 2.86-2.95, 5 Ir 2.94-3.04
Dy 0.2126 0.2500 0.8037  2 Ni 2.82, 4 Ir 2.84-3.04
Dy 0.2874 0.7500 0.3037  2 Ni 2.82, 4 Ir 2.84-3.04
Dy 0.3817 0.2500 0.0614  3 Ni 2.86-2.95, 5 Ir 2.94-3.04
Dy 0.4528 0.7500 0.6216  1 Ni 2.89, 5 Ir 2.92-3.00
Dy 0.5472 0.2500 0.3784  1 Ni 2.89, 5 Ir 2.92-3.00
Dy 0.6183 0.7500 0.9386  3 Ni 2.86-2.95, 5 Ir 2.94-3.04
Dy 0.7126 0.2500 0.6963  2 Ni 2.82, 4 Ir 2.84-3.04
Dy 0.7874 0.7500 0.1963  2 Ni 2.82, 4 Ir 2.84-3.04
Dy 0.8817 0.2500 0.4386  3 Ni 2.86-2.95, 5 Ir 2.94-3.04
Dy 0.9528 0.7500 0.8784  1 Ni 2.89, 5 Ir 2.92-3.00
Ni 0.1294 0.2500 0.3706  3 Ir 2.49-2.52
Ni 0.3706 0.7500 0.8706  3 Ir 2.49-2.52
Ni 0.6294 0.2500 0.1294  3 Ir 2.49-2.52
Ni 0.8706 0.7500 0.6294  3 Ir 2.49-2.52
Ir 0.0170 0.7500 0.3081  2 Ni 2.52
Ir 0.1908 0.7500 0.0050  1 Ni 2.49
Ir 0.3092 0.2500 0.5050  1 Ni 2.49
Ir 0.4830 0.2500 0.8081  2 Ni 2.52
Ir 0.5170 0.7500 0.1919  2 Ni 2.52
Ir 0.6908 0.7500 0.4950  1 Ni 2.49
Ir 0.8092 0.2500 0.9950  1 Ni 2.49
Ir 0.9830 0.2500 0.6919  2 Ni 2.52

Values from the calculation:
Crystal system = orthorhombic
Formation energy = -0.71 eV per atom

=====

No. 6
Here is Dy2Ni9Ir after structural relaxation from the Alexandria database. Energies are from PBE.

abc: 8.4536 8.4536 8.4536
angles: 33.53 33.53 33.53
With the nearest neighbours (Å) after each atom.
Sites, in units of the cell vectors:
Dy 0.1324 0.1324 0.1324  9 Ni 2.73-2.93
Dy 0.8676 0.8676 0.8676  9 Ni 2.73-2.93
Ni 0.0800 0.5815 0.5815  7 Ni 2.39-2.49
Ni 0.3332 0.3332 0.3332  6 Ni 2.39-2.40
Ni 0.4185 0.4185 0.9200  7 Ni 2.39-2.49
Ni 0.4185 0.9200 0.4185  7 Ni 2.39-2.49
Ni 0.5000 0.5000 0.5000  6 Ni 2.49
Ni 0.5815 0.0800 0.5815  7 Ni 2.39-2.49
Ni 0.5815 0.5815 0.0800  7 Ni 2.39-2.49
Ni 0.6668 0.6668 0.6668  6 Ni 2.39-2.40
Ni 0.9200 0.4185 0.4185  7 Ni 2.39-2.49
Ir 0.0000 0.0000 0.0000  18 Ni 2.82-3.11

Values from the calculation:
Crystal system = trigonal
Formation energy = -0.12 eV per atom

=====

| no. | E (eV per atom) |
| --- | --- |
| 1 | -5.4596 |
| 2 | -6.2163 |
| 3 | -7.1953 |
| 4 | -7.6285 |
| 5 | -6.9307 |
| 6 | -5.9565 |